1.
# Ba2TaNO3 | the Open Quantum Materials Database | PBE | relaxed
# **Symmetry**: Cmcm, No. 63
data_Ba2TaNO3
_chemical_formula_sum 'Ba4 Ta2 N2 O6'
_space_group_name_H-M_alt 'P 1'
_space_group_IT_number 1
_cell_length_a 7.310
_cell_length_b 7.310
_cell_length_c 5.824
_cell_angle_alpha 90.00
_cell_angle_beta 90.00
_cell_angle_gamma 47.26
loop_
_space_group_symop_operation_xyz
'x,y,z'
loop_
_atom_site_label
_atom_site_type_symbol
_atom_site_fract_x
_atom_site_fract_y
_atom_site_fract_z
_atom_site_occupancy
Ba1 Ba 0.095 0.614 0.750 1
Ba2 Ba 0.386 0.905 0.750 1
Ba3 Ba 0.614 0.095 0.250 1
Ba4 Ba 0.905 0.386 0.250 1
Ta1 Ta 0.268 0.732 0.250 1
Ta2 Ta 0.732 0.268 0.750 1
N1 N 0.500 0.500 0.000 1
N2 N 0.500 0.500 0.500 1
O1 O 0.000 0.000 0.000 1
O2 O 0.000 0.000 0.500 1
O3 O 0.086 0.611 0.250 1
O4 O 0.389 0.914 0.250 1
O5 O 0.611 0.086 0.750 1
O6 O 0.914 0.389 0.750 1



2.
# ZnTe2Os | the Open Quantum Materials Database | PBE | relaxed
# **Symmetry**: F-43m, No. 216
data_ZnTe2Os
_chemical_formula_sum 'Zn1 Te2 Os1'
_space_group_name_H-M_alt 'P 1'
_space_group_IT_number 1
_cell_length_a 4.864
_cell_length_b 4.864
_cell_length_c 4.864
_cell_angle_alpha 60.00
_cell_angle_beta 60.00
_cell_angle_gamma 60.00
loop_
_space_group_symop_operation_xyz
'x,y,z'
loop_
_atom_site_label
_atom_site_type_symbol
_atom_site_fract_x
_atom_site_fract_y
_atom_site_fract_z
_atom_site_occupancy
Zn1 Zn 0.000 0.000 0.000 1
Te1 Te 0.250 0.250 0.250 1
Te2 Te 0.500 0.500 0.500 1
Os1 Os 0.750 0.750 0.750 1



3.
# HfNbTc2 | the Open Quantum Materials Database | PBE | relaxed
# **ΔE to the lowest computed polymorph**: 0.0128 eV per atom
# **Calculated formation energy**: -0.429 eV/atom
# **Symmetry**: P4/nmm, No. 129
data_HfNbTc2
_chemical_formula_sum 'Hf2 Nb2 Tc4'
_space_group_name_H-M_alt 'P 1'
_space_group_IT_number 1
_cell_length_a 6.439
_cell_length_b 6.439
_cell_length_c 3.223
_cell_angle_alpha 90.00
_cell_angle_beta 90.00
_cell_angle_gamma 90.00
loop_
_space_group_symop_operation_xyz
'x,y,z'
loop_
_atom_site_label
_atom_site_type_symbol
_atom_site_fract_x
_atom_site_fract_y
_atom_site_fract_z
_atom_site_occupancy
Hf1 Hf 0.250 0.750 0.000 1
Hf2 Hf 0.750 0.250 0.000 1
Nb1 Nb 0.250 0.250 0.003 1
Nb2 Nb 0.750 0.750 0.997 1
Tc1 Tc 0.000 0.000 0.500 1
Tc2 Tc 0.000 0.500 0.500 1
Tc3 Tc 0.500 0.000 0.500 1
Tc4 Tc 0.500 0.500 0.500 1



4.
# Y5Te3Ir | the Open Quantum Materials Database | PBE | relaxed
# **ΔE to the lowest computed polymorph**: 0.1899 eV per atom
# **Symmetry**: P-62m, No. 189
data_Y5Te3Ir
_chemical_formula_sum 'Y5 Te3 Ir1'
_space_group_name_H-M_alt 'P 1'
_space_group_IT_number 1
_cell_length_a 8.217
_cell_length_b 8.217
_cell_length_c 4.200
_cell_angle_alpha 90.00
_cell_angle_beta 90.00
_cell_angle_gamma 120.00
loop_
_space_group_symop_operation_xyz
'x,y,z'
loop_
_atom_site_label
_atom_site_type_symbol
_atom_site_fract_x
_atom_site_fract_y
_atom_site_fract_z
_atom_site_occupancy
Y1 Y 0.000 0.666 0.000 1
Y2 Y 0.333 0.667 0.500 1
Y3 Y 0.334 0.334 0.000 1
Y4 Y 0.666 0.000 0.000 1
Y5 Y 0.667 0.333 0.500 1
Te1 Te 0.000 0.266 0.500 1
Te2 Te 0.266 0.000 0.500 1
Te3 Te 0.734 0.734 0.500 1
Ir1 Ir 0.000 0.000 0.000 1



5.
# Tm6TlCu2 | the Open Quantum Materials Database | PBE | relaxed
# **Symmetry**: Immm, No. 71
data_Tm6TlCu2
_chemical_formula_sum 'Tm12 Tl2 Cu4'
_space_group_name_H-M_alt 'P 1'
_space_group_IT_number 1
_cell_length_a 8.398
_cell_length_b 8.398
_cell_length_c 8.398
_cell_angle_alpha 112.88
_cell_angle_beta 109.67
_cell_angle_gamma 105.94
loop_
_space_group_symop_operation_xyz
'x,y,z'
loop_
_atom_site_label
_atom_site_type_symbol
_atom_site_fract_x
_atom_site_fract_y
_atom_site_fract_z
_atom_site_occupancy
Tm1 Tm 0.035 0.237 0.798 1
Tm2 Tm 0.186 0.285 0.471 1
Tm3 Tm 0.186 0.715 0.901 1
Tm4 Tm 0.322 0.018 0.696 1
Tm5 Tm 0.322 0.627 0.304 1
Tm6 Tm 0.439 0.237 0.202 1
Tm7 Tm 0.561 0.763 0.798 1
Tm8 Tm 0.678 0.373 0.696 1
Tm9 Tm 0.678 0.982 0.304 1
Tm10 Tm 0.814 0.285 0.099 1
Tm11 Tm 0.814 0.715 0.529 1
Tm12 Tm 0.965 0.763 0.202 1
Tl1 Tl 0.000 0.000 0.000 1
Tl2 Tl 0.500 0.500 0.000 1
Cu1 Cu 0.121 0.621 0.500 1
Cu2 Cu 0.352 0.000 0.352 1
Cu3 Cu 0.648 0.000 0.648 1
Cu4 Cu 0.879 0.379 0.500 1



6.
# Pr3B2Pt13 | the Open Quantum Materials Database | PBE | relaxed
# **Symmetry**: P6/mmm, No. 191
data_Pr3B2Pt13
_chemical_formula_sum 'Pr3 B2 Pt13'
_space_group_name_H-M_alt 'P 1'
_space_group_IT_number 1
_cell_length_a 5.483
_cell_length_b 5.483
_cell_length_c 12.167
_cell_angle_alpha 90.00
_cell_angle_beta 90.00
_cell_angle_gamma 120.00
loop_
_space_group_symop_operation_xyz
'x,y,z'
loop_
_atom_site_label
_atom_site_type_symbol
_atom_site_fract_x
_atom_site_fract_y
_atom_site_fract_z
_atom_site_occupancy
Pr1 Pr 0.000 0.000 0.000 1
Pr2 Pr 0.000 0.000 0.330 1
Pr3 Pr 0.000 0.000 0.670 1
B1 B 0.333 0.667 0.000 1
B2 B 0.667 0.333 0.000 1
Pt1 Pt 0.000 0.500 0.127 1
Pt2 Pt 0.000 0.500 0.500 1
Pt3 Pt 0.000 0.500 0.873 1
Pt4 Pt 0.333 0.667 0.317 1
Pt5 Pt 0.333 0.667 0.683 1
Pt6 Pt 0.500 0.000 0.127 1
Pt7 Pt 0.500 0.000 0.500 1
Pt8 Pt 0.500 0.000 0.873 1
Pt9 Pt 0.500 0.500 0.127 1
Pt10 Pt 0.500 0.500 0.500 1
Pt11 Pt 0.500 0.500 0.873 1
Pt12 Pt 0.667 0.333 0.317 1
Pt13 Pt 0.667 0.333 0.683 1



7.
# Sr2BeNi | the Open Quantum Materials Database | PBE | relaxed
# **Symmetry**: F-43m, No. 216
data_Sr2BeNi
_chemical_formula_sum 'Sr2 Be1 Ni1'
_space_group_name_H-M_alt 'P 1'
_space_group_IT_number 1
_cell_length_a 5.027
_cell_length_b 5.027
_cell_length_c 5.027
_cell_angle_alpha 60.00
_cell_angle_beta 60.00
_cell_angle_gamma 60.00
loop_
_space_group_symop_operation_xyz
'x,y,z'
loop_
_atom_site_label
_atom_site_type_symbol
_atom_site_fract_x
_atom_site_fract_y
_atom_site_fract_z
_atom_site_occupancy
Sr1 Sr 0.000 0.000 0.000 1
Sr2 Sr 0.250 0.250 0.250 1
Be1 Be 0.500 0.500 0.500 1
Ni1 Ni 0.750 0.750 0.750 1



8.
# YTmTe3Pb | the Open Quantum Materials Database | PBE | relaxed
# **ΔE to the lowest computed polymorph**: 0.0232 eV per atom
# **Symmetry**: Cmcm, No. 63
data_YTmTe3Pb
_chemical_formula_sum 'Y2 Tm2 Te6 Pb2'
_space_group_name_H-M_alt 'P 1'
_space_group_IT_number 1
_cell_length_a 7.946
_cell_length_b 7.946
_cell_length_c 11.849
_cell_angle_alpha 90.00
_cell_angle_beta 90.00
_cell_angle_gamma 148.24
loop_
_space_group_symop_operation_xyz
'x,y,z'
loop_
_atom_site_label
_atom_site_type_symbol
_atom_site_fract_x
_atom_site_fract_y
_atom_site_fract_z
_atom_site_occupancy
Y1 Y 0.054 0.946 0.750 1
Y2 Y 0.946 0.054 0.250 1
Tm1 Tm 0.500 0.500 0.000 1
Tm2 Tm 0.500 0.500 0.500 1
Te1 Te 0.141 0.859 0.525 1
Te2 Te 0.141 0.859 0.975 1
Te3 Te 0.420 0.580 0.750 1
Te4 Te 0.580 0.420 0.250 1
Te5 Te 0.859 0.141 0.025 1
Te6 Te 0.859 0.141 0.475 1
Pb1 Pb 0.277 0.723 0.250 1
Pb2 Pb 0.723 0.277 0.750 1



One value per record, in order, for total moment: 0.00; 0.00; 0.00; 0.03; 0.01; 0.71; 0.03; 0.02 μB/f.u..
One value per record, in order, for E_tot: -8.01; -3.73; -10.62; -6.18; -4.28; -6.66; -2.58; -4.87 eV per atom.